A relaxed structure of K2SmRu3O12, computed with GGA-PBE.

```
K2SmRu3O12
1.0
3.691 2.131 5.182
-3.691 2.131 5.182
0.000 -4.261 5.182
K Sm Ru O
2 1 3 12
direct
0.095 0.095 0.095
0.905 0.905 0.905
0.500 0.500 0.500
0.000 0.500 0.500
0.500 0.000 0.500
0.500 0.500 0.000
0.034 0.649 0.649
0.244 0.244 0.620
0.244 0.620 0.244
0.351 0.351 0.966
0.351 0.966 0.351
0.380 0.756 0.756
0.620 0.244 0.244
0.649 0.034 0.649
0.649 0.649 0.034
0.756 0.380 0.756
0.756 0.756 0.380
0.966 0.351 0.351
```

Summary:
raw formation energy = -1.240 eV per atom